! CoIN2O (PBE with a Hubbard U, relaxed); values from VASP
&SYSTEM
  ibrav = 0, nat = 5, ntyp = 4
/
ATOMIC_SPECIES
I 126.90 I.upf
Co 58.93 Co.upf
O 16.00 O.upf
N 14.01 N.upf
CELL_PARAMETERS angstrom
3.974 0.000 0.000
0.000 3.974 0.000
0.000 0.000 4.370
ATOMIC_POSITIONS crystal
I 0.000 0.000 0.500
Co 0.500 0.500 0.500
O 0.000 0.000 0.000
N 0.000 0.500 0.000
N 0.500 0.000 0.000
! - SG = P4/mmm
! - Fermi-level density of states (states/eV/f.u.) = 2.7
! - uncorrected energy (eV/atom) = -3.361
! - density (g cm⁻³) = 5.53